1.
A plane-wave DFT calculation with GGA-PBE was carried out for Mg4ScRu after structural relaxation.

Geometry as CIF:
```
data_Mg4ScRu
_cell_length_a 7.756
_cell_length_b 7.756
_cell_length_c 7.756
_cell_angle_alpha 90.00
_cell_angle_beta 90.00
_cell_angle_gamma 90.00
_symmetry_space_group_name_H-M 'F -4 3 m'
_symmetry_Int_Tables_number 216
_symmetry_space_group_name_Hall 'F -4 2 3'
loop_
_atom_site_label
_atom_site_type_symbol
_atom_site_fract_x
_atom_site_fract_y
_atom_site_fract_z
Mg1 Mg 0.124 0.124 0.124
Sc1 Sc 0.000 0.000 0.500
Ru1 Ru 0.250 0.250 0.750
```

Properties
Energy of formation, eV/f.u.: 1.2
Density of states at the Fermi level, states/eV/atom: 1.066
Volume, Å³ per cell: 467
Theoretical density, g cm⁻³: 3.5

***

2.
A plane-wave DFT calculation with GGA-PBE was carried out for Mg2ScRu after structural relaxation.

Geometry as CIF:
```
data_Mg2ScRu
_cell_length_a 3.493
_cell_length_b 3.493
_cell_length_c 6.053
_cell_angle_alpha 90.00
_cell_angle_beta 90.00
_cell_angle_gamma 90.00
_symmetry_space_group_name_H-M 'P 4/m m m'
_symmetry_Int_Tables_number 123
_symmetry_space_group_name_Hall '-P 4 2'
loop_
_atom_site_label
_atom_site_type_symbol
_atom_site_fract_x
_atom_site_fract_y
_atom_site_fract_z
Mg1 Mg 0.000 0.000 0.217
Sc1 Sc 0.500 0.500 0.500
Ru1 Ru 0.500 0.500 0.000
```

Properties
Energy of formation, eV/f.u.: 0.0
Density of states at the Fermi level, states/eV/atom: 0.809
Volume, Å³ per cell: 74
Theoretical density, g cm⁻³: 4.4

***

3.
A plane-wave DFT calculation with GGA-PBE was carried out for MgScRu2 after structural relaxation.

Geometry as CIF:
```
data_MgScRu2
_cell_length_a 6.378
_cell_length_b 6.378
_cell_length_c 6.378
_cell_angle_alpha 90.00
_cell_angle_beta 90.00
_cell_angle_gamma 90.00
_symmetry_space_group_name_H-M 'F -4 3 m'
_symmetry_Int_Tables_number 216
_symmetry_space_group_name_Hall 'F -4 2 3'
loop_
_atom_site_label
_atom_site_type_symbol
_atom_site_fract_x
_atom_site_fract_y
_atom_site_fract_z
Mg1 Mg 0.000 0.000 0.000
Sc1 Sc 0.250 0.250 0.250
Ru1 Ru 0.000 0.000 0.500
Ru2 Ru 0.250 0.250 0.750
```

Properties
Energy of formation, eV/f.u.: 0.0
Density of states at the Fermi level, states/eV/atom: 1.308
Volume, Å³ per cell: 259
Theoretical density, g cm⁻³: 6.9

***

4.
A plane-wave DFT calculation with GGA-PBE was carried out for MgScRu2 after structural relaxation.

Geometry as CIF:
```
data_MgScRu2
_cell_length_a 7.029
_cell_length_b 7.029
_cell_length_c 5.574
_cell_angle_alpha 90.00
_cell_angle_beta 90.00
_cell_angle_gamma 90.00
_symmetry_space_group_name_H-M 'I -4 2 d'
_symmetry_Int_Tables_number 122
_symmetry_space_group_name_Hall 'I -4 2bw'
loop_
_atom_site_label
_atom_site_type_symbol
_atom_site_fract_x
_atom_site_fract_y
_atom_site_fract_z
Mg1 Mg 0.000 0.000 0.000
Sc1 Sc 0.000 0.000 0.500
Ru1 Ru 0.250 0.250 0.125
```

Properties
Energy of formation, eV/f.u.: 1.4
Density of states at the Fermi level, states/eV/atom: 1.322
Volume, Å³ per cell: 275
Theoretical density, g cm⁻³: 6.5

***

5.
A plane-wave DFT calculation with GGA-PBE was carried out for MgSc4Ru5 after structural relaxation.

Geometry as CIF:
```
data_MgSc4Ru5
_cell_length_a 3.217
_cell_length_b 3.217
_cell_length_c 15.797
_cell_angle_alpha 90.00
_cell_angle_beta 90.00
_cell_angle_gamma 90.00
_symmetry_space_group_name_H-M 'P 4/m m m'
_symmetry_Int_Tables_number 123
_symmetry_space_group_name_Hall '-P 4 2'
loop_
_atom_site_label
_atom_site_type_symbol
_atom_site_fract_x
_atom_site_fract_y
_atom_site_fract_z
Mg1 Mg 0.000 0.000 0.000
Sc1 Sc 0.000 0.000 0.197
Sc2 Sc 0.000 0.000 0.399
Ru1 Ru 0.500 0.500 0.097
Ru2 Ru 0.500 0.500 0.298
Ru3 Ru 0.500 0.500 0.500
```

Properties
Energy of formation, eV/f.u.: -3.8
Density of states at the Fermi level, states/eV/atom: 1.325
Volume, Å³ per cell: 163
Theoretical density, g cm⁻³: 7.2

***

6.
A plane-wave DFT calculation with GGA-PBE was carried out for Mg2ScRu after structural relaxation.

Geometry as CIF:
```
data_Mg2ScRu
_cell_length_a 3.318
_cell_length_b 4.919
_cell_length_c 9.416
_cell_angle_alpha 90.00
_cell_angle_beta 90.00
_cell_angle_gamma 90.00
_symmetry_space_group_name_H-M 'I m m 2'
_symmetry_Int_Tables_number 44
loop_
_symmetry_equiv_pos_as_xyz
'x,y,z'
'-x,-y,z'
'-x,y,z'
'x,-y,z'
'x+1/2,y+1/2,z+1/2'
'-x+1/2,-y+1/2,z+1/2'
'-x+1/2,y+1/2,z+1/2'
'x+1/2,-y+1/2,z+1/2'
loop_
_atom_site_label
_atom_site_type_symbol
_atom_site_fract_x
_atom_site_fract_y
_atom_site_fract_z
Mg1 Mg 0.000 0.000 0.000
Mg2 Mg 0.000 0.500 0.223
Sc1 Sc 0.000 0.000 0.431
Ru1 Ru 0.000 0.500 0.727
```

Properties
Energy of formation, eV/f.u.: -0.5
Density of states at the Fermi level, states/eV/atom: 0.651
Volume, Å³ per cell: 154
Theoretical density, g cm⁻³: 4.2

***

7.
A plane-wave DFT calculation with GGA-PBE was carried out for Mg2ScRu after structural relaxation.

Geometry as CIF:
```
data_Mg2ScRu
_cell_length_a 3.900
_cell_length_b 3.900
_cell_length_c 20.613
_cell_angle_alpha 90.00
_cell_angle_beta 90.00
_cell_angle_gamma 90.00
_symmetry_space_group_name_H-M 'I -4 2 d'
_symmetry_Int_Tables_number 122
_symmetry_space_group_name_Hall 'I -4 2bw'
loop_
_atom_site_label
_atom_site_type_symbol
_atom_site_fract_x
_atom_site_fract_y
_atom_site_fract_z
Mg1 Mg 0.230 0.250 0.125
Sc1 Sc 0.000 0.000 0.500
Ru1 Ru 0.000 0.000 0.000
```

Properties
Energy of formation, eV/f.u.: 0.8
Density of states at the Fermi level, states/eV/atom: 0.641
Volume, Å³ per cell: 314
Theoretical density, g cm⁻³: 4.1

***

8.
A plane-wave DFT calculation with GGA-PBE was carried out for MgScRu2 after structural relaxation.

Geometry as CIF:
```
data_MgScRu2
_cell_length_a 3.775
_cell_length_b 3.775
_cell_length_c 9.089
_cell_angle_alpha 90.00
_cell_angle_beta 90.00
_cell_angle_gamma 90.00
_symmetry_space_group_name_H-M 'I -4 m 2'
_symmetry_Int_Tables_number 119
_symmetry_space_group_name_Hall 'I -4 -2'
loop_
_atom_site_label
_atom_site_type_symbol
_atom_site_fract_x
_atom_site_fract_y
_atom_site_fract_z
Mg1 Mg 0.000 0.000 0.000
Sc1 Sc 0.000 0.500 0.250
Ru1 Ru 0.000 0.000 0.500
Ru2 Ru 0.000 0.500 0.750
```

Properties
Energy of formation, eV/f.u.: -0.3
Density of states at the Fermi level, states/eV/atom: 1.096
Volume, Å³ per cell: 130
Theoretical density, g cm⁻³: 7.0